VASP calculation (GGA-PBE) on a relaxed ZnIn5I8 crystal.

a = 9.643 Å, b = 9.643 Å, c = 9.643 Å
α = 119.97°, β = 90.04°, γ = 119.97°
Atoms (fractional coordinates):
I 0.588 0.727 0.864
In 0.882 0.244 0.121
I 0.139 0.277 0.412
I 0.629 0.256 0.880
In 0.500 0.000 0.500
In 0.877 0.756 0.639
I 0.625 0.744 0.373
Zn 0.250 0.500 0.750
In 0.361 0.238 0.118
I 0.120 0.748 0.375
In 0.879 0.762 0.123
I 0.137 0.273 0.861
I 0.627 0.252 0.371
I 0.136 0.723 0.863

crystal system: tetragonal
SG: I-4 (82)
formation energy without anion corrections: -0.444 eV per atom
E_tot: -2.399 eV per atom